Computed, not measured: a relaxed Li5V3P8O29 crystal at the PBE+U level of DFT.

Summary:
- VASP energy (eV per cell) = -634.21
- SG = C2/c
- theoretical density (kg/m3) = 2480

CIF file:
```
data_Li5V3P8O29
_chemical_formula_sum 'Li10 V6 P16 O58'
_cell_length_a 9.814
_cell_length_b 9.814
_cell_length_c 14.410
_cell_angle_alpha 91.21
_cell_angle_beta 91.21
_cell_angle_gamma 60.23
_space_group_name_H-M_alt 'P 1'
_space_group_IT_number 1
_space_group_name_Hall 'P 1'
loop_
_atom_site_label
_atom_site_type_symbol
_atom_site_fract_x
_atom_site_fract_y
_atom_site_fract_z
_atom_site_occupancy
Li1 Li 0.000 0.000 0.000 1
Li2 Li 0.000 0.000 0.500 1
Li3 Li 0.130 0.200 0.938 1
Li4 Li 0.197 0.649 0.501 1
Li5 Li 0.200 0.130 0.438 1
Li6 Li 0.351 0.803 0.999 1
Li7 Li 0.649 0.197 0.001 1
Li8 Li 0.800 0.870 0.562 1
Li9 Li 0.803 0.351 0.499 1
Li10 Li 0.870 0.800 0.062 1
V1 V 0.027 0.413 0.769 1
V2 V 0.413 0.027 0.269 1
V3 V 0.467 0.533 0.750 1
V4 V 0.533 0.467 0.250 1
V5 V 0.587 0.973 0.731 1
V6 V 0.973 0.587 0.231 1
P1 P 0.073 0.236 0.151 1
P2 P 0.113 0.666 0.679 1
P3 P 0.194 0.724 0.157 1
P4 P 0.236 0.073 0.651 1
P5 P 0.276 0.806 0.343 1
P6 P 0.298 0.380 0.363 1
P7 P 0.334 0.887 0.821 1
P8 P 0.380 0.298 0.863 1
P9 P 0.620 0.702 0.137 1
P10 P 0.666 0.113 0.179 1
P11 P 0.702 0.620 0.637 1
P12 P 0.724 0.194 0.657 1
P13 P 0.764 0.927 0.349 1
P14 P 0.806 0.276 0.843 1
P15 P 0.887 0.334 0.321 1
P16 P 0.927 0.764 0.849 1
O1 O 0.025 0.763 0.596 1
O2 O 0.045 0.181 0.058 1
O3 O 0.047 0.405 0.150 1
O4 O 0.049 0.765 0.775 1
O5 O 0.055 0.692 0.150 1
O6 O 0.106 0.515 0.689 1
O7 O 0.123 0.237 0.691 1
O8 O 0.166 0.496 0.297 1
O9 O 0.172 0.828 0.250 1
O10 O 0.180 0.811 0.425 1
O11 O 0.181 0.045 0.558 1
O12 O 0.189 0.820 0.075 1
O13 O 0.216 0.311 0.856 1
O14 O 0.235 0.951 0.725 1
O15 O 0.237 0.123 0.191 1
O16 O 0.237 0.975 0.904 1
O17 O 0.279 0.441 0.461 1
O18 O 0.287 0.627 0.670 1
O19 O 0.308 0.945 0.350 1
O20 O 0.311 0.216 0.356 1
O21 O 0.352 0.569 0.170 1
O22 O 0.366 0.451 0.818 1
O23 O 0.373 0.713 0.830 1
O24 O 0.405 0.047 0.650 1
O25 O 0.431 0.648 0.330 1
O26 O 0.441 0.279 0.961 1
O27 O 0.451 0.366 0.318 1
O28 O 0.485 0.894 0.811 1
O29 O 0.496 0.166 0.797 1
O30 O 0.504 0.834 0.203 1
O31 O 0.515 0.106 0.189 1
O32 O 0.549 0.634 0.682 1
O33 O 0.559 0.721 0.039 1
O34 O 0.569 0.352 0.670 1
O35 O 0.595 0.953 0.350 1
O36 O 0.627 0.287 0.170 1
O37 O 0.634 0.549 0.182 1
O38 O 0.648 0.431 0.830 1
O39 O 0.689 0.784 0.644 1
O40 O 0.692 0.055 0.650 1
O41 O 0.713 0.373 0.330 1
O42 O 0.721 0.559 0.539 1
O43 O 0.763 0.025 0.096 1
O44 O 0.763 0.877 0.809 1
O45 O 0.765 0.049 0.275 1
O46 O 0.784 0.689 0.144 1
O47 O 0.811 0.180 0.925 1
O48 O 0.819 0.955 0.442 1
O49 O 0.820 0.189 0.575 1
O50 O 0.828 0.172 0.750 1
O51 O 0.834 0.504 0.703 1
O52 O 0.877 0.763 0.309 1
O53 O 0.894 0.485 0.311 1
O54 O 0.945 0.308 0.850 1
O55 O 0.951 0.235 0.225 1
O56 O 0.953 0.595 0.850 1
O57 O 0.955 0.819 0.942 1
O58 O 0.975 0.237 0.404 1
```